A geometry-optimized CrFeBr2 structure, computed with PBEsol.

Output
* raw formation energy: 1050 meV/atom
* M_tot: 8.05 μB/cell
* crystal system: cubic

Lattice parameters (Å, degrees): 4.832 4.832 4.832 60.00 60.00 60.00
Last column: magnetic moment on the atom in μB.
Fractional coordinates of all 4 atoms:
Br 0.000 0.000 0.000  0.17
Br 0.750 0.750 0.750  0.05
Cr 0.500 0.500 0.500  3.93
Fe 0.250 0.250 0.250  3.12